# 1
The following is a PBE-GGA calculation of an optimized crystal structure of Sc2SbW, from the Alexandria database. Values from VASP.

Output
formation energy without anion corrections = -64 meV/atom
calculated density = 8181 kg/m³
V = 20.07 Å³/atom
space-group type = Imm2, No. 44
total moment = 0.000 μB/f.u.

Quantum ESPRESSO input file:
```
&SYSTEM
  ibrav = 0, nat = 4, ntyp = 3
/
ATOMIC_SPECIES
Sc 44.96 Sc.upf
Sb 121.76 Sb.upf
W 183.84 W.upf
CELL_PARAMETERS angstrom
-2.496 -1.788 4.574
-4.903 -2.380 -0.798
5.199 -0.463 -1.760
ATOMIC_POSITIONS angstrom
Sc -0.444 -2.136 2.323
Sb -1.773 -2.503 -0.299
W -3.681 -2.074 1.879
Sc -0.002 -0.001 0.001
```

=====

# 2
The following is a PBE-GGA calculation of an optimized crystal structure of ScSbW2, from the Alexandria database. Values from VASP.

Output
formation energy without anion corrections = 986 meV/atom
calculated density = 10515 kg/m³
V = 21.10 Å³/atom
space-group type = I-42d, No. 122
total moment = 0.000 μB/f.u.

Quantum ESPRESSO input file:
```
&SYSTEM
  ibrav = 0, nat = 8, ntyp = 3
/
ATOMIC_SPECIES
Sb 121.76 Sb.upf
Sc 44.96 Sc.upf
W 183.84 W.upf
CELL_PARAMETERS angstrom
7.953 0.000 0.000
0.000 7.953 0.000
3.976 3.976 2.669
ATOMIC_POSITIONS angstrom
Sb 0.000 0.000 0.000
Sc 3.976 3.976 0.000
W 1.693 5.964 0.667
Sb 7.953 3.976 1.334
W 6.260 1.988 0.667
Sc 3.976 7.953 1.334
W 9.941 10.236 2.002
W 5.964 5.669 2.002
```

=====

# 3
The following is a PBE-GGA calculation of an optimized crystal structure of ScSbW2, from the Alexandria database. Values from VASP.

Output
formation energy without anion corrections = 301 meV/atom
calculated density = 11709 kg/m³
V = 18.95 Å³/atom
space-group type = P2/m, No. 10
total moment = 0.000 μB/f.u.

Quantum ESPRESSO input file:
```
&SYSTEM
  ibrav = 0, nat = 4, ntyp = 3
/
ATOMIC_SPECIES
W 183.84 W.upf
Sc 44.96 Sc.upf
Sb 121.76 Sb.upf
CELL_PARAMETERS angstrom
-4.811 1.019 0.123
-0.483 -2.030 -2.082
-0.711 -3.782 3.544
ATOMIC_POSITIONS angstrom
W -0.558 -2.758 1.022
W -0.749 -3.930 3.253
Sc -3.301 -3.849 1.158
Sb -2.704 -0.943 0.427
```

=====

# 4
The following is a PBE-GGA calculation of an optimized crystal structure of ScSb2W, from the Alexandria database. Values from VASP.

Output
formation energy without anion corrections = 621 meV/atom
relative energy among the computed polymorphs = 2.62 eV/f.u.
calculated density = 6017 kg/m³
V = 32.59 Å³/atom
space-group type = I-42d, No. 122
total moment = 1.989 μB/f.u.

Quantum ESPRESSO input file:
```
&SYSTEM
  ibrav = 0, nat = 8, ntyp = 3
/
ATOMIC_SPECIES
Sc 44.96 Sc.upf
Sb 121.76 Sb.upf
W 183.84 W.upf
CELL_PARAMETERS angstrom
-4.799 2.975 2.750
-2.794 0.656 -5.586
-6.884 -3.965 -0.553
ATOMIC_POSITIONS angstrom
Sc -3.797 1.815 -1.418
Sb -11.894 0.224 -3.070
W -7.740 0.413 0.390
Sc -6.737 -0.747 -3.778
Sb -3.918 -0.302 -3.371
Sb -5.219 1.043 0.968
Sb -7.924 -1.632 -1.304
W 0.000 0.000 0.000
```

=====

# 5
The following is a PBE-GGA calculation of an optimized crystal structure of ScSb2W, from the Alexandria database. Values from VASP.

Output
formation energy without anion corrections = 190 meV/atom
relative energy among the computed polymorphs = 0.90 eV/f.u.
calculated density = 8538 kg/m³
V = 22.96 Å³/atom
space-group type = R3m, No. 160
total moment = 0.000 μB/f.u.

Quantum ESPRESSO input file:
```
&SYSTEM
  ibrav = 0, nat = 4, ntyp = 3
/
ATOMIC_SPECIES
W 183.84 W.upf
Sb 121.76 Sb.upf
Sc 44.96 Sc.upf
CELL_PARAMETERS angstrom
-6.388 2.483 -7.069
-3.702 1.906 -8.922
-5.669 -0.607 -8.027
ATOMIC_POSITIONS angstrom
W -11.833 2.840 -18.035
Sb -3.817 0.916 -5.818
Sc -7.745 1.859 -11.805
Sb -0.243 0.058 -0.370
```

=====

# 6
The following is a PBE-GGA calculation of an optimized crystal structure of ScSb2W, from the Alexandria database. Values from VASP.

Output
formation energy without anion corrections = 176 meV/atom
relative energy among the computed polymorphs = 0.84 eV/f.u.
calculated density = 8863 kg/m³
V = 22.12 Å³/atom
space-group type = R-3m, No. 166
total moment = 0.000 μB/f.u.

Quantum ESPRESSO input file:
```
&SYSTEM
  ibrav = 0, nat = 4, ntyp = 3
/
ATOMIC_SPECIES
Sb 121.76 Sb.upf
W 183.84 W.upf
Sc 44.96 Sc.upf
CELL_PARAMETERS angstrom
8.516 0.016 0.010
7.784 3.454 0.010
7.784 1.657 3.031
ATOMIC_POSITIONS angstrom
Sb 0.179 0.038 0.023
Sb 11.863 2.526 1.502
W 18.063 3.846 2.288
Sc 6.021 1.282 0.763
```

=====

# 7
The following is a PBE-GGA calculation of an optimized crystal structure of ScSb2W, from the Alexandria database. Values from VASP.

Output
formation energy without anion corrections = -35 meV/atom
relative energy among the computed polymorphs = 0.00 eV/f.u.
calculated density = 8922 kg/m³
V = 21.98 Å³/atom
space-group type = P4mm, No. 99
total moment = 0.000 μB/f.u.

Quantum ESPRESSO input file:
```
&SYSTEM
  ibrav = 0, nat = 4, ntyp = 3
/
ATOMIC_SPECIES
Sb 121.76 Sb.upf
Sc 44.96 Sc.upf
W 183.84 W.upf
CELL_PARAMETERS angstrom
3.582 0.000 0.000
0.000 3.582 0.000
0.000 0.000 6.853
ATOMIC_POSITIONS angstrom
Sb 0.000 0.000 6.429
Sc 0.000 0.000 3.466
Sb 1.791 1.791 2.123
W 1.791 1.791 5.114
```

=====

# 8
The following is a PBE-GGA calculation of an optimized crystal structure of ScSbW, from the Alexandria database. Values from VASP.

Output
formation energy without anion corrections = 185 meV/atom
relative energy among the computed polymorphs = 0.64 eV/f.u.
calculated density = 9232 kg/m³
V = 21.02 Å³/atom
space-group type = P3m1, No. 156
total moment = 0.000 μB/f.u.

Quantum ESPRESSO input file:
```
&SYSTEM
  ibrav = 0, nat = 3, ntyp = 3
/
ATOMIC_SPECIES
Sc 44.96 Sc.upf
W 183.84 W.upf
Sb 121.76 Sb.upf
CELL_PARAMETERS angstrom
-1.154 -2.903 -1.154
2.132 0.046 2.559
-5.039 0.335 4.192
ATOMIC_POSITIONS angstrom
Sc -0.729 -0.820 2.790
W -3.457 -1.694 2.911
Sb -4.914 0.327 4.088
```

=====

# 9
The following is a PBE-GGA calculation of an optimized crystal structure of ScSb2W, from the Alexandria database. Values from VASP.

Output
formation energy without anion corrections = 29 meV/atom
relative energy among the computed polymorphs = 0.25 eV/f.u.
calculated density = 9292 kg/m³
V = 21.10 Å³/atom
space-group type = Cm, No. 8
total moment = 0.000 μB/f.u.

Quantum ESPRESSO input file:
```
&SYSTEM
  ibrav = 0, nat = 4, ntyp = 3
/
ATOMIC_SPECIES
Sb 121.76 Sb.upf
W 183.84 W.upf
Sc 44.96 Sc.upf
CELL_PARAMETERS angstrom
-0.718 -2.760 4.552
0.105 -5.013 1.927
4.493 -0.211 1.590
ATOMIC_POSITIONS angstrom
Sb -0.287 -7.770 6.578
W 0.618 -2.192 2.074
Sb 2.584 -5.948 5.914
Sc 2.293 -3.840 4.014
```

=====

# 10
The following is a PBE-GGA calculation of an optimized crystal structure of ScSbW2, from the Alexandria database. Values from VASP.

Output
formation energy without anion corrections = 395 meV/atom
calculated density = 11939 kg/m³
V = 18.58 Å³/atom
space-group type = P4/mmm, No. 123
total moment = 0.000 μB/f.u.

Quantum ESPRESSO input file:
```
&SYSTEM
  ibrav = 0, nat = 4, ntyp = 3
/
ATOMIC_SPECIES
W 183.84 W.upf
Sb 121.76 Sb.upf
Sc 44.96 Sc.upf
CELL_PARAMETERS angstrom
-3.346 0.076 -1.148
-1.120 -1.018 3.198
-0.439 5.685 1.655
ATOMIC_POSITIONS angstrom
W -0.009 0.121 0.035
Sb -2.343 0.950 1.439
W -0.210 2.722 0.792
Sc -2.563 3.793 2.266
```

=====

# 11
The following is a PBE-GGA calculation of an optimized crystal structure of ScSb2W, from the Alexandria database. Values from VASP.

Output
formation energy without anion corrections = 182 meV/atom
relative energy among the computed polymorphs = 0.87 eV/f.u.
calculated density = 9421 kg/m³
V = 20.81 Å³/atom
space-group type = Pmmm, No. 47
total moment = 0.000 μB/f.u.

Quantum ESPRESSO input file:
```
&SYSTEM
  ibrav = 0, nat = 4, ntyp = 3
/
ATOMIC_SPECIES
Sc 44.96 Sc.upf
Sb 121.76 Sb.upf
W 183.84 W.upf
CELL_PARAMETERS angstrom
3.754 0.000 0.000
0.000 5.188 0.000
0.000 0.000 4.274
ATOMIC_POSITIONS angstrom
Sc 1.877 0.000 2.137
Sb 0.000 0.000 0.000
Sb 1.877 2.594 0.000
W 0.000 2.594 2.137
```

=====

# 12
The following is a PBE-GGA calculation of an optimized crystal structure of ScSb2W, from the Alexandria database. Values from VASP.

Output
formation energy without anion corrections = 99 meV/atom
relative energy among the computed polymorphs = 0.54 eV/f.u.
calculated density = 8231 kg/m³
V = 23.82 Å³/atom
space-group type = Cmm2, No. 35
total moment = 0.000 μB/f.u.

Quantum ESPRESSO input file:
```
&SYSTEM
  ibrav = 0, nat = 4, ntyp = 3
/
ATOMIC_SPECIES
Sb 121.76 Sb.upf
W 183.84 W.upf
Sc 44.96 Sc.upf
CELL_PARAMETERS angstrom
3.076 -0.004 0.000
-0.791 2.973 0.000
0.000 0.000 10.422
ATOMIC_POSITIONS angstrom
Sb 1.143 1.485 3.125
W 1.143 1.485 7.673
Sb 0.000 0.000 9.747
Sc 0.000 0.000 5.508
```